Entry 1:
# NdScCu4 | Alexandria | PBE-GGA | relaxed
data_NdScCu4
_symmetry_space_group_name_H-M 'F -4 3 m'
_symmetry_Int_Tables_number 216
_symmetry_space_group_name_Hall 'F -4 2 3'
_cell_length_a 7.384
_cell_length_b 7.384
_cell_length_c 7.384
_cell_angle_alpha 90.00
_cell_angle_beta 90.00
_cell_angle_gamma 90.00
loop_
_atom_site_label
_atom_site_fract_x
_atom_site_fract_y
_atom_site_fract_z
_atom_site_occupancy
Nd1 0.000 0.000 0.000 1
Sc1 0.250 0.250 0.750 1
Cu1 0.123 0.123 0.377 1
# * E_form: -0.134 eV per atom
# * mass density: 7.32 g/cm³
# * spin magnetization: 0.00 μB per cell
# * VASP energy: -4.71 eV/atom

=====

Entry 2:
# BePtCl3 | Alexandria | PBE-GGA | relaxed
data_BePtCl3
_symmetry_space_group_name_H-M 'P m -3 m'
_symmetry_Int_Tables_number 221
_symmetry_space_group_name_Hall '-P 4 2 3'
_cell_length_a 4.887
_cell_length_b 4.887
_cell_length_c 4.887
_cell_angle_alpha 90.00
_cell_angle_beta 90.00
_cell_angle_gamma 90.00
loop_
_atom_site_label
_atom_site_fract_x
_atom_site_fract_y
_atom_site_fract_z
_atom_site_occupancy
Be1 0.000 0.000 0.000 1
Pt1 0.500 0.500 0.500 1
Cl1 0.000 0.500 0.500 1
# * mass density: 4.42 g/cm³
# * spin magnetization: 0.94 μB per cell
# * VASP energy: -2.69 eV/atom

=====

Entry 3:
# Na3SiW | Alexandria | PBE-GGA | relaxed
data_Na3SiW
_symmetry_space_group_name_H-M 'P m -3 m'
_symmetry_Int_Tables_number 221
_symmetry_space_group_name_Hall '-P 4 2 3'
_cell_length_a 5.461
_cell_length_b 5.461
_cell_length_c 5.461
_cell_angle_alpha 90.00
_cell_angle_beta 90.00
_cell_angle_gamma 90.00
loop_
_atom_site_label
_atom_site_fract_x
_atom_site_fract_y
_atom_site_fract_z
_atom_site_occupancy
Na1 0.000 0.000 0.500 1
Si1 0.000 0.000 0.000 1
W1 0.500 0.500 0.500 1
# * mass density: 2.86 g/cm³
# * spin magnetization: 4.21 μB per cell
# * VASP energy: -2.88 eV/atom

=====

Entry 4:
# EuCd2 | Alexandria | PBE-GGA | relaxed
data_EuCd2
_symmetry_space_group_name_H-M 'I 4/m m m'
_symmetry_Int_Tables_number 139
_symmetry_space_group_name_Hall '-I 4 2'
_cell_length_a 3.966
_cell_length_b 3.966
_cell_length_c 10.634
_cell_angle_alpha 90.00
_cell_angle_beta 90.00
_cell_angle_gamma 90.00
loop_
_atom_site_label
_atom_site_fract_x
_atom_site_fract_y
_atom_site_fract_z
_atom_site_occupancy
Eu1 0.000 0.000 0.000 1
Cd1 0.000 0.000 0.320 1
# * E_form: -0.270 eV per atom
# * mass density: 7.48 g/cm³
# * spin magnetization: 14.27 μB per cell
# * VASP energy: -4.30 eV/atom

=====

Entry 5:
# NdZn5Ni2Pd | Alexandria | PBE-GGA | relaxed
data_NdZn5Ni2Pd
_symmetry_space_group_name_H-M 'P 4/m m m'
_symmetry_Int_Tables_number 123
_symmetry_space_group_name_Hall '-P 4 2'
_cell_length_a 4.654
_cell_length_b 4.654
_cell_length_c 7.013
_cell_angle_alpha 90.00
_cell_angle_beta 90.00
_cell_angle_gamma 90.00
loop_
_atom_site_label
_atom_site_fract_x
_atom_site_fract_y
_atom_site_fract_z
_atom_site_occupancy
Nd1 0.000 0.000 0.000 1
Zn1 0.000 0.500 0.305 1
Zn2 0.500 0.500 0.000 1
Ni1 0.500 0.500 0.333 1
Pd1 0.000 0.000 0.500 1
# * E_form: -0.188 eV per atom
# * mass density: 7.60 g/cm³
# * spin magnetization: 0.00 μB per cell
# * VASP energy: -3.29 eV/atom

=====

Entry 6:
# BaCaZr3 | Alexandria | PBE-GGA | relaxed
data_BaCaZr3
_symmetry_space_group_name_H-M 'P m -3 m'
_symmetry_Int_Tables_number 221
_symmetry_space_group_name_Hall '-P 4 2 3'
_cell_length_a 5.466
_cell_length_b 5.466
_cell_length_c 5.466
_cell_angle_alpha 90.00
_cell_angle_beta 90.00
_cell_angle_gamma 90.00
loop_
_atom_site_label
_atom_site_fract_x
_atom_site_fract_y
_atom_site_fract_z
_atom_site_occupancy
Ba1 0.000 0.000 0.000 1
Ca1 0.500 0.500 0.500 1
Zr1 0.000 0.500 0.500 1
# * E_form: 1.383 eV per atom
# * mass density: 4.59 g/cm³
# * spin magnetization: 2.44 μB per cell
# * VASP energy: -4.53 eV/atom

=====

Entry 7:
# LiH2Pd2 | Alexandria | PBE-GGA | relaxed
data_LiH2Pd2
_symmetry_space_group_name_H-M 'P 4/m b m'
_symmetry_Int_Tables_number 127
_symmetry_space_group_name_Hall '-P 4 2ab'
_cell_length_a 5.779
_cell_length_b 5.779
_cell_length_c 2.861
_cell_angle_alpha 90.00
_cell_angle_beta 90.00
_cell_angle_gamma 90.00
loop_
_atom_site_label
_atom_site_fract_x
_atom_site_fract_y
_atom_site_fract_z
_atom_site_occupancy
Li1 0.000 0.000 0.000 1
H1 0.195 0.305 0.000 1
Pd1 0.170 0.670 0.500 1
# * mass density: 7.71 g/cm³
# * spin magnetization: 0.00 μB per cell
# * VASP energy: -4.01 eV/atom

=====

Entry 8:
# Sc3TlZn | Alexandria | PBE-GGA | relaxed
data_Sc3TlZn
_symmetry_space_group_name_H-M 'C m c m'
_symmetry_Int_Tables_number 63
_symmetry_space_group_name_Hall '-C 2c 2'
_cell_length_a 4.878
_cell_length_b 18.457
_cell_length_c 4.880
_cell_angle_alpha 90.00
_cell_angle_beta 90.00
_cell_angle_gamma 90.00
loop_
_atom_site_label
_atom_site_fract_x
_atom_site_fract_y
_atom_site_fract_z
_atom_site_occupancy
Sc1 0.000 0.057 0.250 1
Sc2 0.000 0.250 0.250 1
Sc3 0.000 0.443 0.250 1
Tl1 0.000 0.153 0.750 1
Zn1 0.000 0.350 0.750 1
# * E_form: -0.235 eV per atom
# * mass density: 6.12 g/cm³
# * spin magnetization: 6.55 μB per cell
# * VASP energy: -4.76 eV/atom